Below is a relaxed Sm3GeTeCl crystal, with properties calculated at the GGA-PBE level.

Calculated values
**DFT total energy**: -5.1560 eV/atom
**Energy relative to the elements, uncorrected**: -692 kJ/mol of formula units

Lattice parameters (Å, degrees): 8.830 4.258 9.844 90.00 94.80 90.00
Space group P2_1/m (No. 11)
Asymmetric unit:
1 Sm 0.096 0.250 0.348
2 Sm 0.174 0.250 0.936
3 Sm 0.369 0.750 0.641
4 Ge 0.138 0.250 0.647
5 Te 0.360 0.750 0.316
6 Cl 0.371 0.750 0.930